Record 1
# TlIn3Hg3

TlIn3Hg3 after structural relaxation (PBE-GGA, Alexandria).

Values from the calculation:
Magnetic moment ... 0.0 μB/f.u.
Formation enthalpy at 0 K ... 0.228 eV per atom

Cell: 8.072 8.072 8.072 Å, 90.00 90.00 90.00°
Space group Pm-3n (No. 223)
One atom of each set of equivalent atoms:
Tl  0.000  0.000  0.000 x2
In  0.000  0.250  0.500 x6
Hg  0.000  0.500  0.250 x6

=====

Record 2
# BaN

BaN after structural relaxation (PBE-GGA, Alexandria).

Values from the calculation:
Magnetic moment ... 0.0 μB/f.u.
Formation energy (no corrections) ... -416 meV/atom

Cell: 5.951 6.691 5.622 Å, 90.00 90.00 90.00°
Space group Cmmm (No. 65)
One atom of each set of equivalent atoms:
Ba  0.000  0.000  0.000 x2
Ba  0.000  0.500  0.500 x2
N  0.000  0.094  0.500 x4

=====

Record 3
# Li2AgAu

Li2AgAu after structural relaxation (PBE-GGA, Alexandria).

Values from the calculation:
Magnetic moment ... 0.0 μB/f.u.
Formation enthalpy at 0 K ... -0.273 eV per atom

Cell: 2.9586 2.9586 25.9739 Å, 90.00 90.00 120.00°
Space group R3m (No. 160, hexagonal axes)
One atom of each set of equivalent atoms:
Li  0.0000  0.0000  0.0000 x3
Li  0.0000  0.0000  0.1706 x3
Ag  0.0000  0.0000  0.7518 x3
Au  0.0000  0.0000  0.5854 x3

=====

Record 4
# Ba2Ir3PdO12

Ba2Ir3PdO12 after structural relaxation (PBE-GGA, Alexandria).

Values from the calculation:
Magnetic moment ... 0.0 μB/f.u.
Formation energy (no corrections) ... -1152 meV/atom

Cell: 7.2141 7.2141 16.9438 Å, 90.00 90.00 120.00°
Space group R-3m (No. 166, hexagonal axes)
One atom of each set of equivalent atoms:
Ba  0.0000  0.0000  0.1160 x6
Ir  0.0000  0.5000  0.0000 x9
Pd  0.0000  0.0000  0.5000 x3
O  0.0397  0.5199  0.1122 x18
O  0.0519  0.5259  0.3483 x18

=====

Record 5
# Fe2PS

Fe2PS after structural relaxation (PBE-GGA, Alexandria).

Values from the calculation:
Magnetic moment ... 0.0 μB/f.u.
Formation energy (no corrections) ... -183 meV/atom

Cell: 4.946 4.946 9.914 Å, 90.00 90.00 90.00°
Space group I-42d (No. 122)
One atom of each set of equivalent atoms:
Fe  0.246  0.250  0.125 x8
P  0.000  0.000  0.500 x4
S  0.000  0.000  0.000 x4

=====

Record 6
# CsTl2Cd2

CsTl2Cd2 after structural relaxation (PBE-GGA, Alexandria).

Values from the calculation:
Magnetic moment ... 0.0 μB/f.u.
Formation enthalpy at 0 K ... -0.060 eV per atom

Cell: 7.267 7.346 7.746 Å, 110.25 113.63 91.38°
Space group P-1 (No. 2)
One atom of each set of equivalent atoms:
Cs  0.158  0.065  0.305 x2
Tl  0.102  0.461  0.796 x2
Tl  0.444  0.181  0.896 x2
Cd  0.310  0.700  0.633 x2
Cd  0.366  0.539  0.247 x2

=====

Record 7
# DyNbZn4

DyNbZn4 after structural relaxation (PBE-GGA, Alexandria).

Values from the calculation:
Magnetic moment ... 2.3 μB/f.u.
Formation enthalpy at 0 K ... -0.161 eV per atom

Cell: 7.449 7.449 7.449 Å, 90.00 90.00 90.00°
Space group F-43m (No. 216)
One atom of each set of equivalent atoms:
Dy  0.000  0.000  0.000 x4
Nb  0.250  0.250  0.250 x4
Zn  0.124  0.124  0.624 x16

=====

Record 8
# LiGe2F6

LiGe2F6 after structural relaxation (PBE-GGA, Alexandria).

Values from the calculation:
Magnetic moment ... 1.0 μB/f.u.
Formation energy (no corrections) ... -2194 meV/atom

Cell: 9.054 10.852 5.307 Å, 90.00 102.56 90.00°
Space group C2/c (No. 15)
One atom of each set of equivalent atoms:
Li  0.000  0.083  0.250 x4
Ge  0.180  0.380  0.171 x8
F  0.097  0.394  0.466 x8
F  0.126  0.075  0.628 x8
F  0.163  0.208  0.170 x8

=====

Record 9
# LiCo2Re

LiCo2Re after structural relaxation (PBE-GGA, Alexandria).

Values from the calculation:
Magnetic moment ... 2.9 μB/f.u.
Formation enthalpy at 0 K ... 0.273 eV per atom

Cell: 2.876 4.257 8.520 Å, 90.00 90.00 90.00°
Space group Cmmm (No. 65)
One atom of each set of equivalent atoms:
Li  0.000  0.000  0.000 x2
Co  0.000  0.500  0.255 x4
Re  0.000  0.000  0.500 x2

=====

Record 10
# PmSc2Te4

PmSc2Te4 after structural relaxation (PBE-GGA, Alexandria).

Values from the calculation:
Magnetic moment ... 0.0 μB/f.u.
Formation energy (no corrections) ... -1274 meV/atom

Cell: 4.197 13.753 14.488 Å, 90.00 90.00 90.00°
Space group Cmcm (No. 63)
One atom of each set of equivalent atoms:
Pm  0.000  0.124  0.250 x4
Sc  0.000  0.371  0.065 x8
Te  0.000  0.000  0.000 x4
Te  0.000  0.272  0.616 x8
Te  0.000  0.453  0.250 x4

=====

Record 11
# HoPuGaRu

HoPuGaRu after structural relaxation (PBE-GGA, Alexandria).

Values from the calculation:
Magnetic moment ... 5.0 μB/f.u.
Formation enthalpy at 0 K ... -0.277 eV per atom

Cell: 6.949 6.949 6.949 Å, 90.00 90.00 90.00°
Space group F-43m (No. 216)
One atom of each set of equivalent atoms:
Ho  0.000  0.000  0.000 x4
Pu  0.000  0.000  0.500 x4
Ga  0.250  0.250  0.750 x4
Ru  0.250  0.250  0.250 x4

=====

Record 12
# Mg3Ni4As4

Mg3Ni4As4 after structural relaxation (PBE-GGA, Alexandria).

Values from the calculation:
Magnetic moment ... 0.0 μB/f.u.
Formation enthalpy at 0 K ... -0.407 eV per atom

Cell: 3.939 6.641 12.867 Å, 90.00 90.00 90.00°
Space group Immm (No. 71)
One atom of each set of equivalent atoms:
Mg  0.000  0.000  0.000 x2
Mg  0.000  0.500  0.125 x4
Ni  0.000  0.301  0.322 x8
As  0.000  0.000  0.221 x4
As  0.000  0.203  0.500 x4

=====

Question: Which value of magnetic moment does entry 5 give?
Answer: 0.0 μB/f.u.